# 1
A geometry-optimized ScOsPb2 structure. Source: OQMD, functional PBE.

The spin magnetization is 0.0 μB per cell. The value obtained for the raw total energy is -5.86 eV per atom.

Lattice parameters (Å, degrees): 4.977 4.977 4.977 60.00 60.00 60.00
Fractional positions:
Sc: 0.000 0.000 0.000
Os: 0.250 0.250 0.250
Pb: 0.500 0.500 0.500
Pb: 0.750 0.750 0.750

# 2
A geometry-optimized ScOsPb2 structure. Source: OQMD, functional PBE.

The spin magnetization is 0.0 μB per cell. The value obtained for the raw total energy is -5.86 eV per atom.

Lattice parameters (Å, degrees): 4.977 4.977 4.977 60.00 60.00 60.00
Fractional positions:
Sc: 0.000 0.000 0.000
Os: 0.750 0.750 0.750
Pb: 0.250 0.250 0.250
Pb: 0.500 0.500 0.500

# 3
A geometry-optimized SiOsPb structure. Source: OQMD, functional PBE.

For the energy above the most stable polymorph in this dataset, the calculation gives 0 meV/atom. The spin magnetization is 0.0 μB per cell. The value obtained for the raw total energy is -6.19 eV per atom.

Lattice parameters (Å, degrees): 4.421 4.421 4.421 60.00 60.00 60.00
Fractional positions:
Si: 0.000 0.000 0.000
Os: 0.750 0.750 0.750
Pb: 0.500 0.500 0.500

# 4
A geometry-optimized SnOsPb structure. Source: OQMD, functional PBE.

The spin magnetization is 0.0 μB per cell. The value obtained for the raw total energy is -5.83 eV per atom.

Lattice parameters (Å, degrees): 4.630 4.630 4.630 60.00 60.00 60.00
Fractional positions:
Sn: 0.000 0.000 0.000
Os: 0.750 0.750 0.750
Pb: 0.500 0.500 0.500

# 5
A geometry-optimized TlOsPb structure. Source: OQMD, functional PBE.

For the energy above the most stable polymorph in this dataset, the calculation gives 0 meV/atom. The spin magnetization is 0.0 μB per cell. The value obtained for the raw total energy is -4.97 eV per atom.

Lattice parameters (Å, degrees): 4.677 4.677 4.677 60.00 60.00 60.00
Fractional positions:
Tl: 0.000 0.000 0.000
Os: 0.750 0.750 0.750
Pb: 0.500 0.500 0.500

# 6
A geometry-optimized Tm4OsPb structure. Source: OQMD, functional PBE.

The spin magnetization is 0.0 μB per cell. The value obtained for the raw total energy is -5.88 eV per atom.

Lattice parameters (Å, degrees): 7.986 7.986 6.072 102.13 102.13 112.88
Fractional positions:
Tm: 0.056 0.724 0.939
Tm: 0.204 0.345 0.649
Tm: 0.276 0.944 0.561
Tm: 0.345 0.204 0.149
Tm: 0.655 0.796 0.851
Tm: 0.724 0.056 0.439
Tm: 0.796 0.655 0.351
Tm: 0.944 0.276 0.061
Os: 0.000 0.000 0.250
Os: 0.000 0.000 0.750
Pb: 0.370 0.630 0.250
Pb: 0.630 0.370 0.750

# 7
A geometry-optimized TmOsPb structure. Source: OQMD, functional PBE.

For the energy above the most stable polymorph in this dataset, the calculation gives 141 meV/atom. The spin magnetization is 0.0 μB per cell. The value obtained for the raw total energy is -5.68 eV per atom.

Lattice parameters (Å, degrees): 4.750 4.750 4.750 60.00 60.00 60.00
Fractional positions:
Tm: 0.000 0.000 0.000
Os: 0.750 0.750 0.750
Pb: 0.250 0.250 0.250

# 8
A geometry-optimized TmOsPb structure. Source: OQMD, functional PBE.

For the energy above the most stable polymorph in this dataset, the calculation gives 0 meV/atom. The spin magnetization is 1.3 μB per cell. The value obtained for the raw total energy is -5.82 eV per atom.

Lattice parameters (Å, degrees): 4.703 4.703 4.703 60.00 60.00 60.00
Fractional positions:
Tm: 0.000 0.000 0.000
Os: 0.500 0.500 0.500
Pb: 0.750 0.750 0.750

# 9
A geometry-optimized Tm2OsPb structure. Source: OQMD, functional PBE.

The spin magnetization is 0.0 μB per cell. The value obtained for the raw total energy is -6.39 eV per atom.

Lattice parameters (Å, degrees): 3.364 3.364 8.375 90.00 90.00 90.00
Fractional positions:
Tm: 0.000 0.000 0.196
Tm: 0.000 0.000 0.804
Os: 0.500 0.500 0.000
Pb: 0.500 0.500 0.500

# 10
A geometry-optimized Os2Pb2W3 structure. Source: OQMD, functional PBE.

The spin magnetization is 0.0 μB per cell. The value obtained for the raw total energy is -9.04 eV per atom.

Lattice parameters (Å, degrees): 7.554 7.554 7.554 34.87 34.87 34.87
Fractional positions:
Os: 0.000 0.000 0.000
Os: 0.454 0.454 0.454
Pb: 0.159 0.159 0.159
Pb: 0.729 0.729 0.729
W: 0.301 0.301 0.301
W: 0.589 0.589 0.589
W: 0.882 0.882 0.882

# 11
A geometry-optimized OsPbW2 structure. Source: OQMD, functional PBE.

The spin magnetization is 0.0 μB per cell. The value obtained for the raw total energy is -9.31 eV per atom.

Lattice parameters (Å, degrees): 4.606 4.606 4.606 60.00 60.00 60.00
Fractional positions:
Os: 0.000 0.000 0.000
Pb: 0.750 0.750 0.750
W: 0.250 0.250 0.250
W: 0.500 0.500 0.500

# 12
A geometry-optimized Os2PbW structure. Source: OQMD, functional PBE.

The spin magnetization is 0.6 μB per cell. The value obtained for the raw total energy is -8.71 eV per atom.

Lattice parameters (Å, degrees): 4.572 4.572 4.572 60.00 60.00 60.00
Fractional positions:
Os: 0.000 0.000 0.000
Os: 0.250 0.250 0.250
Pb: 0.500 0.500 0.500
W: 0.750 0.750 0.750

# 13
A geometry-optimized YOs2Pb structure. Source: OQMD, functional PBE.

The spin magnetization is 1.3 μB per cell. The value obtained for the raw total energy is -7.47 eV per atom.

Lattice parameters (Å, degrees): 4.794 4.794 4.794 60.00 60.00 60.00
Fractional positions:
Y: 0.000 0.000 0.000
Os: 0.250 0.250 0.250
Os: 0.500 0.500 0.500
Pb: 0.750 0.750 0.750

# 14
A geometry-optimized ZnOs2Pb4 structure. Source: OQMD, functional PBE.

The spin magnetization is 0.0 μB per cell. The value obtained for the raw total energy is -4.85 eV per atom.

Lattice parameters (Å, degrees): 6.789 6.789 4.782 109.50 109.50 54.79
Fractional positions:
Zn: 0.000 0.000 0.000
Os: 0.394 0.394 0.886
Os: 0.606 0.606 0.114
Pb: 0.098 0.604 0.343
Pb: 0.396 0.902 0.657
Pb: 0.604 0.098 0.343
Pb: 0.902 0.396 0.657

# 15
A geometry-optimized ZnOs2Pb structure. Source: OQMD, functional PBE.

The spin magnetization is 0.0 μB per cell. The value obtained for the raw total energy is -5.92 eV per atom.

Lattice parameters (Å, degrees): 4.571 4.571 4.571 60.00 60.00 60.00
Fractional positions:
Zn: 0.000 0.000 0.000
Os: 0.250 0.250 0.250
Os: 0.500 0.500 0.500
Pb: 0.750 0.750 0.750

# 16
A geometry-optimized OsPd structure. Source: OQMD, functional PBE.

The spin magnetization is 0.0 μB per cell. The formation energy comes out at 1.89 eV/atom. The value obtained for the raw total energy is -6.31 eV per atom.

Lattice parameters (Å, degrees): 3.949 3.949 3.949 60.00 60.00 60.00
Fractional positions:
Os: 0.000 0.000 0.000
Pd: 0.750 0.750 0.750

# 17
A geometry-optimized OsPd structure. Source: OQMD, functional PBE.

The spin magnetization is 1.9 μB per cell. The formation energy comes out at 1.61 eV/atom. The value obtained for the raw total energy is -6.59 eV per atom.

Lattice parameters (Å, degrees): 3.639 3.639 3.639 60.00 60.00 60.00
Fractional positions:
Os: 0.000 0.000 0.000
Pd: 0.500 0.500 0.500

# 18
A geometry-optimized OsPd structure. Source: OQMD, functional PBE.

The spin magnetization is 3.2 μB per cell. The formation energy comes out at 1.48 eV/atom. The value obtained for the raw total energy is -6.72 eV per atom.

Lattice parameters (Å, degrees): 3.925 3.925 5.254 90.00 90.00 120.00
Fractional positions:
Os: 0.333 0.667 0.250
Os: 0.667 0.333 0.750
Pd: 0.000 0.000 0.000
Pd: 0.000 0.000 0.500

# 19
A geometry-optimized OsPd structure. Source: OQMD, functional PBE.

The spin magnetization is 0.0 μB per cell. The formation energy comes out at 0.94 eV/atom. The value obtained for the raw total energy is -7.26 eV per atom.

Lattice parameters (Å, degrees): 4.085 4.085 4.846 90.00 90.00 120.00
Fractional positions:
Os: 0.000 0.000 0.000
Os: 0.000 0.000 0.500
Pd: 0.333 0.667 0.250
Pd: 0.667 0.333 0.750

# 20
A geometry-optimized Os2Pd structure. Source: OQMD, functional PBE.

For the energy above the most stable polymorph in this dataset, the calculation gives 3364 meV/atom. The spin magnetization is 12.0 μB per cell. The formation energy comes out at 4.14 eV/atom. The value obtained for the raw total energy is -5.07 eV per atom.

Lattice parameters (Å, degrees): 7.949 7.949 7.949 60.00 60.00 60.00
Fractional positions:
Os: 0.000 0.000 0.000
Os: 0.000 0.000 0.500
Os: 0.000 0.500 0.000
Os: 0.500 0.000 0.000
Pd: 0.125 0.125 0.125
Pd: 0.875 0.875 0.875

# 21
A geometry-optimized Os2Pd structure. Source: OQMD, functional PBE.

For the energy above the most stable polymorph in this dataset, the calculation gives 0 meV/atom. The spin magnetization is 1.8 μB per cell. The formation energy comes out at 0.77 eV/atom. The value obtained for the raw total energy is -8.44 eV per atom.

Lattice parameters (Å, degrees): 5.132 5.132 5.132 60.00 60.00 60.00
Fractional positions:
Os: 0.000 0.000 0.000
Os: 0.000 0.000 0.500
Os: 0.000 0.500 0.000
Os: 0.500 0.000 0.000
Pd: 0.375 0.375 0.375
Pd: 0.625 0.625 0.625

# 22
A geometry-optimized PrSi2OsPd structure. Source: OQMD, functional PBE.

The spin magnetization is 0.0 μB per cell. The value obtained for the raw total energy is -7.18 eV per atom.

Lattice parameters (Å, degrees): 5.919 5.919 5.919 139.10 139.10 59.22
Fractional positions:
Pr: 0.000 0.000 0.000
Si: 0.377 0.377 0.000
Si: 0.623 0.623 0.000
Os: 0.750 0.250 0.500
Pd: 0.250 0.750 0.500

# 23
A geometry-optimized OsPdPt structure. Source: OQMD, functional PBE.

For the energy above the most stable polymorph in this dataset, the calculation gives 0 meV/atom. The spin magnetization is 0.2 μB per cell. The formation energy comes out at 0.72 eV/atom. The value obtained for the raw total energy is -6.77 eV per atom.

Lattice parameters (Å, degrees): 4.215 4.215 4.215 60.00 60.00 60.00
Fractional positions:
Os: 0.000 0.000 0.000
Pd: 0.500 0.500 0.500
Pt: 0.250 0.250 0.250

# 24
A geometry-optimized PuOsPd structure. Source: OQMD, functional PBE.

For the energy above the most stable polymorph in this dataset, the calculation gives 0 meV/atom. The spin magnetization is 4.0 μB per cell. The formation energy comes out at 0.25 eV/atom. The value obtained for the raw total energy is -9.92 eV per atom.

Lattice parameters (Å, degrees): 4.406 4.406 4.406 60.00 60.00 60.00
Fractional positions:
Pu: 0.000 0.000 0.000
Os: 0.750 0.750 0.750
Pd: 0.500 0.500 0.500

# 25
A geometry-optimized RbOsPd structure. Source: OQMD, functional PBE.

For the energy above the most stable polymorph in this dataset, the calculation gives 706 meV/atom. The spin magnetization is 2.9 μB per cell. The value obtained for the raw total energy is -3.24 eV per atom.

Lattice parameters (Å, degrees): 4.840 4.840 4.840 60.00 60.00 60.00
Fractional positions:
Rb: 0.000 0.000 0.000
Os: 0.750 0.750 0.750
Pd: 0.250 0.250 0.250

# 26
A geometry-optimized RbOsPd structure. Source: OQMD, functional PBE.

For the energy above the most stable polymorph in this dataset, the calculation gives 0 meV/atom. The spin magnetization is 3.1 μB per cell. The value obtained for the raw total energy is -3.95 eV per atom.

Lattice parameters (Å, degrees): 4.788 4.788 4.788 60.00 60.00 60.00
Fractional positions:
Rb: 0.000 0.000 0.000
Os: 0.500 0.500 0.500
Pd: 0.750 0.750 0.750

# 27
A geometry-optimized Re6OsPd structure. Source: OQMD, functional PBE.

The spin magnetization is 0.0 μB per cell. The formation energy comes out at -0.04 eV/atom. The value obtained for the raw total energy is -11.41 eV per atom.

Lattice parameters (Å, degrees): 5.553 5.553 4.414 90.00 90.00 120.00
Fractional positions:
Re: 0.009 0.504 0.000
Re: 0.173 0.346 0.500
Re: 0.173 0.827 0.500
Re: 0.496 0.504 0.000
Re: 0.496 0.991 0.000
Re: 0.654 0.827 0.500
Os: 0.000 0.000 0.000
Pd: 0.667 0.333 0.500

# 28
A geometry-optimized Os2PdS6 structure. Source: OQMD, functional PBE.

The spin magnetization is 0.0 μB per cell. The value obtained for the raw total energy is -5.83 eV per atom.

Lattice parameters (Å, degrees): 6.284 6.284 9.652 117.04 117.04 31.46
Fractional positions:
Os: 0.176 0.176 0.292
Os: 0.824 0.824 0.708
Pd: 0.500 0.500 0.000
S: 0.170 0.170 0.547
S: 0.278 0.278 0.854
S: 0.470 0.470 0.741
S: 0.530 0.530 0.259
S: 0.722 0.722 0.146
S: 0.830 0.830 0.453

# 29
A geometry-optimized Os6PdS2 structure. Source: OQMD, functional PBE.

The spin magnetization is 0.0 μB per cell. The value obtained for the raw total energy is -8.62 eV per atom.

Lattice parameters (Å, degrees): 3.874 6.128 6.539 73.36 89.82 71.69
Fractional positions:
Os: 0.064 0.376 0.365
Os: 0.277 0.945 0.645
Os: 0.393 0.713 0.358
Os: 0.607 0.287 0.642
Os: 0.723 0.055 0.355
Os: 0.936 0.624 0.635
Pd: 0.500 0.500 0.000
S: 0.191 0.122 0.119
S: 0.809 0.878 0.881